Compound: HgIrRh2
Source: Alexandria via LeMat-Bulk
Functional: GGA-PBEsol
Structure: relaxed

Values from the calculation:
**Calculated total energy**: -0.4720 Ry per atom
**Energy of formation**: 0.2449 eV/atom

Cell lengths 4.7790, 4.7790, 2.7710 Å; angles 90.00, 90.00, 108.92 degrees
Atoms (fractional coordinates):
Hg: 0.0000 0.0000 0.0000
Ir: 0.5000 0.5000 0.0000
Rh: 0.0000 0.5000 0.5000
Rh: 0.5000 0.0000 0.5000

=====

Compound: HgIrRh
Source: Alexandria via LeMat-Bulk
Functional: GGA-PBEsol
Structure: relaxed

Values from the calculation:
**Calculated total energy**: -0.4253 Ry per atom
**Energy of formation**: 0.3899 eV/atom

Cell lengths 7.5154, 7.2467, 2.7885 Å; angles 84.59, 73.73, 21.68 degrees
Atoms (fractional coordinates):
Hg: 0.0000 0.0000 0.0000
Ir: 0.6756 0.6756 0.3244
Rh: 0.3291 0.3291 0.6709